Compound: NaCaY2Se4
Source: the Alexandria database
Functional: PBE
Structure: relaxed

Unit cell a=4.119 b=7.129 c=7.292 alpha=108.93 beta=90.00 gamma=90.00
Positions (direct):
Na 0.000 0.000 0.000
Ca 0.500 0.500 0.000
Y 0.500 0.000 0.500
Y 0.000 0.500 0.500
Se 0.500 0.255 0.261
Se 0.500 0.745 0.739
Se 0.000 0.248 0.743
Se 0.000 0.752 0.257

Summary:
* volume: 202.5 Å³/f.u.
* uncorrected formation energy: -1.81 eV per atom
* VASP energy: -5.58 eV per atom

Compound: PrHo7Tl5
Source: the Alexandria database
Functional: PBE
Structure: relaxed

Unit cell a=6.497 b=8.328 c=8.328 alpha=81.19 beta=67.04 gamma=67.04
Positions (direct):
Pr 0.990 0.010 0.010
Ho 0.640 0.360 0.360
Ho 0.329 0.671 0.671
Ho 0.996 0.347 0.662
Ho 0.996 0.662 0.347
Ho 0.270 0.230 0.230
Ho 0.512 0.790 0.186
Ho 0.512 0.186 0.790
Tl 0.504 0.004 0.485
Tl 0.007 0.004 0.485
Tl 0.504 0.485 0.004
Tl 0.007 0.485 0.004
Tl 0.733 0.767 0.767

Summary:
* volume: 382.0 Å³/f.u.
* formation energy: -0.1546 eV/atom
* VASP energy: -3.90 eV per atom

Compound: Tb2ScCd8
Source: the Alexandria database
Functional: PBE
Structure: relaxed

Unit cell a=5.016 b=7.184 c=8.512 alpha=114.96 beta=107.14 gamma=90.00
Positions (direct):
Tb 0.201 0.701 0.402
Tb 0.799 0.299 0.598
Sc 0.500 0.000 0.000
Cd 0.635 0.844 0.270
Cd 0.365 0.574 0.730
Cd 0.154 0.154 0.309
Cd 0.000 0.289 0.000
Cd 0.846 0.846 0.691
Cd 0.635 0.426 0.270
Cd 0.365 0.156 0.730
Cd 0.000 0.711 0.000

Summary:
* volume: 263.0 Å³/f.u.
* formation energy: -0.1746 eV/atom
* VASP energy: -2.26 eV per atom

Compound: Rb2LiAcCl6
Source: the Alexandria database
Functional: PBE
Structure: relaxed

Unit cell a=7.591 b=7.781 c=10.755 alpha=90.00 beta=89.42 gamma=90.00
Positions (direct):
Rb 0.015 0.949 0.251
Rb 0.515 0.551 0.751
Rb 0.985 0.051 0.749
Rb 0.485 0.449 0.249
Li 0.500 0.000 0.000
Li 0.000 0.500 0.500
Ac 0.500 0.000 0.500
Ac 0.000 0.500 0.000
Cl 0.300 0.718 0.040
Cl 0.800 0.782 0.540
Cl 0.700 0.282 0.960
Cl 0.200 0.218 0.460
Cl 0.282 0.702 0.462
Cl 0.782 0.798 0.962
Cl 0.718 0.298 0.538
Cl 0.218 0.202 0.038
Cl 0.925 0.518 0.262
Cl 0.425 0.982 0.762
Cl 0.075 0.482 0.738
Cl 0.575 0.018 0.238

Summary:
* volume: 317.6 Å³/f.u.
* uncorrected formation energy: -2.11 eV per atom
* VASP energy: -4.02 eV per atom

Compound: Sc2Al5Pt3
Source: the Alexandria database
Functional: PBE
Structure: relaxed

Unit cell a=4.234 b=6.539 c=12.526 alpha=90.00 beta=99.73 gamma=90.00
Positions (direct):
Sc 0.482 0.761 0.964
Sc 0.174 0.724 0.349
Sc 0.826 0.224 0.651
Sc 0.518 0.261 0.036
Al 0.399 0.407 0.799
Al 0.290 0.505 0.580
Al 0.710 0.005 0.420
Al 0.124 0.254 0.249
Al 0.294 0.919 0.588
Al 0.947 0.089 0.894
Al 0.706 0.419 0.412
Al 0.876 0.754 0.751
Al 0.053 0.589 0.106
Al 0.601 0.907 0.201
Pt 0.774 0.709 0.547
Pt 0.607 0.513 0.213
Pt 0.048 0.983 0.095
Pt 0.226 0.209 0.453
Pt 0.952 0.483 0.905
Pt 0.393 0.013 0.787

Summary:
* volume: 170.9 Å³/f.u.
* formation energy: -1.0045 eV/atom
* VASP energy: -5.95 eV per atom

Compound: Sr2SbPb
Source: the Alexandria database
Functional: PBE
Structure: relaxed

Unit cell a=4.754 b=4.754 c=6.817 alpha=90.00 beta=90.00 gamma=90.00
Positions (direct):
Pb 0.000 0.000 0.443
Sb 0.500 0.500 0.815
Sr 0.000 0.000 0.920
Sr 0.500 0.500 0.323

Summary:
* volume: 154.1 Å³/f.u.
* offset from the most stable computed form: 1.14 eV/f.u.
* uncorrected formation energy: -0.41 eV per atom
* VASP energy: -3.21 eV per atom

Compound: WSeCl
Source: the Alexandria database
Functional: PBE
Structure: relaxed

Unit cell a=3.459 b=7.239 c=7.681 alpha=85.54 beta=77.43 gamma=79.98
Positions (direct):
Cl 0.675 0.744 0.854
Cl 0.325 0.256 0.146
Se 0.099 0.230 0.639
Se 0.901 0.770 0.361
W 0.698 0.971 0.629
W 0.302 0.029 0.371

Summary:
* volume: 92.4 Å³/f.u.
* offset from the most stable computed form: 0.07 eV/f.u.
* uncorrected formation energy: -0.46 eV per atom
* VASP energy: -6.56 eV per atom

Compound: YBe2Cu
Source: the Alexandria database
Functional: PBE
Structure: relaxed

Unit cell a=3.955 b=3.955 c=4.111 alpha=90.00 beta=90.00 gamma=90.00
Positions (direct):
Y 0.000 0.500 0.500
Be 0.000 0.000 0.000
Be 0.500 0.500 0.000
Cu 0.500 0.000 0.500

Summary:
* volume: 64.3 Å³/f.u.
* formation energy: 0.3759 eV/atom
* offset from the most stable computed form: 1.98 eV/f.u.
* VASP energy: -4.13 eV per atom

Compound: HfZnCd2Cl
Source: the Alexandria database
Functional: PBE
Structure: relaxed

Unit cell a=4.967 b=5.234 c=4.967 alpha=90.00 beta=90.00 gamma=90.00
Positions (direct):
Zn 0.000 0.000 0.000
Cl 0.500 0.500 0.500
Hf 0.000 0.500 0.000
Cd 0.000 0.000 0.500
Cd 0.500 0.000 0.000

Summary:
* volume: 129.1 Å³/f.u.
* uncorrected formation energy: 0.38 eV per atom
* VASP energy: -2.60 eV per atom

Compound: NbGaRu2
Source: the Alexandria database
Functional: PBE
Structure: relaxed

Unit cell a=3.145 b=3.145 c=6.081 alpha=90.00 beta=90.00 gamma=90.00
Positions (direct):
Ru 0.000 0.000 0.743
Ru 0.000 0.000 0.257
Nb 0.500 0.500 0.000
Ga 0.500 0.500 0.500

Summary:
* volume: 60.1 Å³/f.u.
* formation energy: -0.4231 eV/atom
* VASP energy: -8.34 eV per atom

Compound: ScCu3Ge2
Source: the Alexandria database
Functional: PBE
Structure: relaxed

Unit cell a=3.998 b=6.412 c=7.755 alpha=108.81 beta=104.94 gamma=90.00
Positions (direct):
Sc 0.118 0.167 0.237
Sc 0.882 0.833 0.763
Cu 0.694 0.903 0.387
Cu 0.072 0.676 0.144
Cu 0.364 0.509 0.728
Cu 0.636 0.491 0.272
Cu 0.928 0.324 0.856
Cu 0.306 0.097 0.613
Ge 0.518 0.814 0.036
Ge 0.482 0.186 0.964
Ge 0.236 0.692 0.473
Ge 0.764 0.308 0.527

Summary:
* volume: 90.5 Å³/f.u.
* formation energy: -0.3104 eV/atom
* VASP energy: -4.95 eV per atom

Compound: RbCrPd3
Source: the Alexandria database
Functional: PBE
Structure: relaxed

Unit cell a=4.784 b=4.784 c=4.784 alpha=90.00 beta=90.00 gamma=90.00
Positions (direct):
Cr 0.000 0.000 0.000
Rb 0.500 0.500 0.500
Pd 0.000 0.500 0.000
Pd 0.000 0.000 0.500
Pd 0.500 0.000 0.000

Summary:
* volume: 109.5 Å³/f.u.
* formation energy: 0.6734 eV/atom
* offset from the most stable computed form: 0.00 eV/f.u.
* VASP energy: -4.56 eV per atom